No. 1
# TiTe2I, optimized geometry, DFT PBE
# VASP energy: -4.031 eV/atom
# Magnetization: 0.00 μB/cell
# ρ: 4.43 g/cm³
# E_form (uncorrected): -0.39 eV/f.u.
# Space group: No. 122
# N(E_F): 4.367 states/eV/f.u.
data_TiTe2I
_cell_length_a 7.360
_cell_length_b 7.360
_cell_length_c 11.910
_cell_angle_alpha 90.00
_cell_angle_beta 90.00
_cell_angle_gamma 90.00
_space_group_name_H-M_alt 'P 1'
_space_group_IT_number 1
loop_
_space_group_symop_operation_xyz
'x,y,z'
loop_
_atom_site_label
_atom_site_type_symbol
_atom_site_fract_x
_atom_site_fract_y
_atom_site_fract_z
Ti1 Ti 0.000 0.000 0.000
Ti2 Ti 0.000 0.500 0.250
Ti3 Ti 0.500 0.000 0.750
Ti4 Ti 0.500 0.500 0.500
Te1 Te 0.152 0.250 0.125
Te2 Te 0.250 0.652 0.375
Te3 Te 0.250 0.848 0.875
Te4 Te 0.348 0.250 0.625
Te5 Te 0.652 0.750 0.625
Te6 Te 0.750 0.152 0.875
Te7 Te 0.750 0.348 0.375
Te8 Te 0.848 0.750 0.125
I1 I 0.000 0.000 0.500
I2 I 0.000 0.500 0.750
I3 I 0.500 0.000 0.250
I4 I 0.500 0.500 0.000


No. 2
# TiTe2I, optimized geometry, DFT PBE
# VASP energy: -3.654 eV/atom
# Magnetization: 0.00 μB/cell
# ρ: 6.85 g/cm³
# E_form (uncorrected): 1.11 eV/f.u.
# Space group: No. 225
# N(E_F): 2.426 states/eV/f.u.
data_TiTe2I
_cell_length_a 7.471
_cell_length_b 7.471
_cell_length_c 7.471
_cell_angle_alpha 90.00
_cell_angle_beta 90.00
_cell_angle_gamma 90.00
_space_group_name_H-M_alt 'P 1'
_space_group_IT_number 1
loop_
_space_group_symop_operation_xyz
'x,y,z'
loop_
_atom_site_label
_atom_site_type_symbol
_atom_site_fract_x
_atom_site_fract_y
_atom_site_fract_z
Ti1 Ti 0.000 0.000 0.000
Ti2 Ti 0.000 0.500 0.500
Ti3 Ti 0.500 0.000 0.500
Ti4 Ti 0.500 0.500 0.000
Te1 Te 0.250 0.250 0.250
Te2 Te 0.250 0.250 0.750
Te3 Te 0.250 0.750 0.250
Te4 Te 0.250 0.750 0.750
Te5 Te 0.750 0.250 0.250
Te6 Te 0.750 0.250 0.750
Te7 Te 0.750 0.750 0.250
Te8 Te 0.750 0.750 0.750
I1 I 0.000 0.000 0.500
I2 I 0.000 0.500 0.000
I3 I 0.500 0.000 0.000
I4 I 0.500 0.500 0.500


No. 3
# TiTe2I, optimized geometry, DFT PBE
# VASP energy: -4.480 eV/atom
# Magnetization: 0.00 μB/cell
# ρ: 5.66 g/cm³
# E_form (uncorrected): -2.19 eV/f.u.
# Space group: No. 63
# N(E_F): 2.569 states/eV/f.u.
data_TiTe2I
_cell_length_a 3.741
_cell_length_b 14.636
_cell_length_c 9.219
_cell_angle_alpha 90.00
_cell_angle_beta 90.00
_cell_angle_gamma 90.00
_space_group_name_H-M_alt 'P 1'
_space_group_IT_number 1
loop_
_space_group_symop_operation_xyz
'x,y,z'
loop_
_atom_site_label
_atom_site_type_symbol
_atom_site_fract_x
_atom_site_fract_y
_atom_site_fract_z
Ti1 Ti 0.000 0.225 0.250
Ti2 Ti 0.000 0.775 0.750
Ti3 Ti 0.500 0.275 0.750
Ti4 Ti 0.500 0.725 0.250
Te1 Te 0.000 0.175 0.583
Te2 Te 0.000 0.175 0.917
Te3 Te 0.000 0.825 0.083
Te4 Te 0.000 0.825 0.417
Te5 Te 0.500 0.325 0.083
Te6 Te 0.500 0.325 0.417
Te7 Te 0.500 0.675 0.583
Te8 Te 0.500 0.675 0.917
I1 I 0.000 0.423 0.750
I2 I 0.000 0.577 0.250
I3 I 0.500 0.077 0.250
I4 I 0.500 0.923 0.750


No. 4
# TiTe2I2, optimized geometry, DFT PBE
# VASP energy: -3.963 eV/atom
# Magnetization: 0.00 μB/cell
# ρ: 4.93 g/cm³
# E_form (uncorrected): -2.53 eV/f.u.
# Space group: No. 12
data_TiTe2I2
_cell_length_a 7.475
_cell_length_b 7.475
_cell_length_c 8.233
_cell_angle_alpha 98.75
_cell_angle_beta 98.75
_cell_angle_gamma 121.05
_space_group_name_H-M_alt 'P 1'
_space_group_IT_number 1
loop_
_space_group_symop_operation_xyz
'x,y,z'
loop_
_atom_site_label
_atom_site_type_symbol
_atom_site_fract_x
_atom_site_fract_y
_atom_site_fract_z
Ti1 Ti 0.137 0.863 0.000
Ti2 Ti 0.863 0.137 0.000
Te1 Te 0.089 0.089 0.296
Te2 Te 0.315 0.315 0.094
Te3 Te 0.685 0.685 0.906
Te4 Te 0.911 0.911 0.704
I1 I 0.037 0.465 0.788
I2 I 0.465 0.037 0.788
I3 I 0.535 0.963 0.212
I4 I 0.963 0.535 0.212


No. 5
# TiTeI, optimized geometry, DFT PBE
# VASP energy: -4.873 eV/atom
# Magnetization: 3.86 μB/cell
# ρ: 5.28 g/cm³
# E_form (uncorrected): -2.03 eV/f.u.
# Space group: No. 12
# N(E_F): 1.968 states/eV/f.u.
data_TiTeI
_cell_length_a 6.747
_cell_length_b 3.895
_cell_length_c 14.647
_cell_angle_alpha 90.00
_cell_angle_beta 99.12
_cell_angle_gamma 90.00
_space_group_name_H-M_alt 'P 1'
_space_group_IT_number 1
loop_
_space_group_symop_operation_xyz
'x,y,z'
loop_
_atom_site_label
_atom_site_type_symbol
_atom_site_fract_x
_atom_site_fract_y
_atom_site_fract_z
Ti1 Ti 0.080 0.000 0.229
Ti2 Ti 0.420 0.500 0.771
Ti3 Ti 0.580 0.500 0.229
Ti4 Ti 0.920 0.000 0.771
Te1 Te 0.125 0.500 0.883
Te2 Te 0.375 0.000 0.117
Te3 Te 0.625 0.000 0.883
Te4 Te 0.875 0.500 0.117
I1 I 0.210 0.000 0.645
I2 I 0.290 0.500 0.355
I3 I 0.710 0.500 0.645
I4 I 0.790 0.000 0.355


No. 6
# TiTe2I2, optimized geometry, DFT PBE
# VASP energy: -3.348 eV/atom
# Magnetization: 0.00 μB/cell
# ρ: 5.03 g/cm³
# E_form (uncorrected): 0.54 eV/f.u.
# Space group: No. 127
# N(E_F): 2.264 states/eV/f.u.
data_TiTe2I2
_cell_length_a 7.270
_cell_length_b 7.270
_cell_length_c 6.958
_cell_angle_alpha 90.00
_cell_angle_beta 90.00
_cell_angle_gamma 90.00
_space_group_name_H-M_alt 'P 1'
_space_group_IT_number 1
loop_
_space_group_symop_operation_xyz
'x,y,z'
loop_
_atom_site_label
_atom_site_type_symbol
_atom_site_fract_x
_atom_site_fract_y
_atom_site_fract_z
Ti1 Ti 0.000 0.000 0.000
Ti2 Ti 0.500 0.500 0.000
Te1 Te 0.129 0.371 0.500
Te2 Te 0.371 0.871 0.500
Te3 Te 0.629 0.129 0.500
Te4 Te 0.871 0.629 0.500
I1 I 0.176 0.676 0.000
I2 I 0.324 0.176 0.000
I3 I 0.676 0.824 0.000
I4 I 0.824 0.324 0.000


No. 7
# Ti2TeI, optimized geometry, DFT PBE
# VASP energy: -5.054 eV/atom
# Magnetization: 20.00 μB/cell
# ρ: 4.38 g/cm³
# E_form (uncorrected): 0.26 eV/f.u.
# Space group: No. 122
# N(E_F): 5.826 states/eV/f.u.
data_Ti2TeI
_cell_length_a 6.477
_cell_length_b 6.477
_cell_length_c 12.654
_cell_angle_alpha 90.00
_cell_angle_beta 90.00
_cell_angle_gamma 90.00
_space_group_name_H-M_alt 'P 1'
_space_group_IT_number 1
loop_
_space_group_symop_operation_xyz
'x,y,z'
loop_
_atom_site_label
_atom_site_type_symbol
_atom_site_fract_x
_atom_site_fract_y
_atom_site_fract_z
Ti1 Ti 0.242 0.250 0.125
Ti2 Ti 0.250 0.742 0.375
Ti3 Ti 0.250 0.758 0.875
Ti4 Ti 0.258 0.250 0.625
Ti5 Ti 0.742 0.750 0.625
Ti6 Ti 0.750 0.242 0.875
Ti7 Ti 0.750 0.258 0.375
Ti8 Ti 0.758 0.750 0.125
Te1 Te 0.000 0.000 0.000
Te2 Te 0.000 0.500 0.250
Te3 Te 0.500 0.000 0.750
Te4 Te 0.500 0.500 0.500
I1 I 0.000 0.000 0.500
I2 I 0.000 0.500 0.750
I3 I 0.500 0.000 0.250
I4 I 0.500 0.500 0.000


No. 8
# TiVTeI2, optimized geometry, DFT PBE
# VASP energy: -4.294 eV/atom
# Magnetization: 5.01 μB/cell
# ρ: 4.79 g/cm³
# E_form (uncorrected): 1.79 eV/f.u.
# Space group: No. 123
# N(E_F): 7.250 states/eV/f.u.
data_TiVTeI2
_cell_length_a 5.483
_cell_length_b 5.483
_cell_length_c 5.533
_cell_angle_alpha 90.00
_cell_angle_beta 90.00
_cell_angle_gamma 90.00
_space_group_name_H-M_alt 'P 1'
_space_group_IT_number 1
loop_
_space_group_symop_operation_xyz
'x,y,z'
loop_
_atom_site_label
_atom_site_type_symbol
_atom_site_fract_x
_atom_site_fract_y
_atom_site_fract_z
Ti1 Ti 0.000 0.000 0.000
V1 V 0.500 0.500 0.500
Te1 Te 0.000 0.000 0.500
I1 I 0.000 0.500 0.000
I2 I 0.500 0.000 0.000


No. 9
# TiTe2WI, optimized geometry, DFT PBE
# VASP energy: -4.710 eV/atom
# Magnetization: 4.99 μB/cell
# ρ: 6.61 g/cm³
# E_form (uncorrected): 5.13 eV/f.u.
# Space group: No. 123
# N(E_F): 3.224 states/eV/f.u.
data_TiTe2WI
_cell_length_a 5.400
_cell_length_b 5.400
_cell_length_c 5.290
_cell_angle_alpha 90.00
_cell_angle_beta 90.00
_cell_angle_gamma 90.00
_space_group_name_H-M_alt 'P 1'
_space_group_IT_number 1
loop_
_space_group_symop_operation_xyz
'x,y,z'
loop_
_atom_site_label
_atom_site_type_symbol
_atom_site_fract_x
_atom_site_fract_y
_atom_site_fract_z
Ti1 Ti 0.000 0.000 0.000
Te1 Te 0.000 0.500 0.000
Te2 Te 0.500 0.000 0.000
W1 W 0.500 0.500 0.500
I1 I 0.000 0.000 0.500


No. 10
# TiTeWI2, optimized geometry, DFT PBE
# VASP energy: -4.392 eV/atom
# Magnetization: 5.98 μB/cell
# ρ: 6.26 g/cm³
# E_form (uncorrected): 5.13 eV/f.u.
# Space group: No. 123
# N(E_F): 3.283 states/eV/f.u.
data_TiTeWI2
_cell_length_a 5.386
_cell_length_b 5.386
_cell_length_c 5.609
_cell_angle_alpha 90.00
_cell_angle_beta 90.00
_cell_angle_gamma 90.00
_space_group_name_H-M_alt 'P 1'
_space_group_IT_number 1
loop_
_space_group_symop_operation_xyz
'x,y,z'
loop_
_atom_site_label
_atom_site_type_symbol
_atom_site_fract_x
_atom_site_fract_y
_atom_site_fract_z
Ti1 Ti 0.000 0.000 0.000
Te1 Te 0.000 0.000 0.500
W1 W 0.500 0.500 0.500
I1 I 0.000 0.500 0.000
I2 I 0.500 0.000 0.000


No. 11
# TiZnTeI2, optimized geometry, DFT PBE
# VASP energy: -2.573 eV/atom
# Magnetization: 0.11 μB/cell
# ρ: 5.12 g/cm³
# E_form (uncorrected): 2.55 eV/f.u.
# Space group: No. 123
# N(E_F): 10.223 states/eV/f.u.
data_TiZnTeI2
_cell_length_a 5.409
_cell_length_b 5.409
_cell_length_c 5.484
_cell_angle_alpha 90.00
_cell_angle_beta 90.00
_cell_angle_gamma 90.00
_space_group_name_H-M_alt 'P 1'
_space_group_IT_number 1
loop_
_space_group_symop_operation_xyz
'x,y,z'
loop_
_atom_site_label
_atom_site_type_symbol
_atom_site_fract_x
_atom_site_fract_y
_atom_site_fract_z
Ti1 Ti 0.000 0.000 0.000
Zn1 Zn 0.500 0.500 0.500
Te1 Te 0.500 0.500 0.000
I1 I 0.000 0.500 0.500
I2 I 0.500 0.000 0.500


No. 12
# TiZnTeI2, optimized geometry, DFT PBE
# VASP energy: -3.204 eV/atom
# Magnetization: 0.13 μB/cell
# ρ: 4.88 g/cm³
# E_form (uncorrected): -0.61 eV/f.u.
# Space group: No. 123
# N(E_F): 3.623 states/eV/f.u.
data_TiZnTeI2
_cell_length_a 5.618
_cell_length_b 5.618
_cell_length_c 5.335
_cell_angle_alpha 90.00
_cell_angle_beta 90.00
_cell_angle_gamma 90.00
_space_group_name_H-M_alt 'P 1'
_space_group_IT_number 1
loop_
_space_group_symop_operation_xyz
'x,y,z'
loop_
_atom_site_label
_atom_site_type_symbol
_atom_site_fract_x
_atom_site_fract_y
_atom_site_fract_z
Ti1 Ti 0.000 0.000 0.000
Zn1 Zn 0.500 0.500 0.500
Te1 Te 0.000 0.000 0.500
I1 I 0.000 0.500 0.000
I2 I 0.500 0.000 0.000


No. 13
# Tl4TeI2, optimized geometry, DFT PBE
# VASP energy: -2.533 eV/atom
# Magnetization: 0.00 μB/cell
# ρ: 5.31 g/cm³
# E_form (uncorrected): -2.03 eV/f.u.
# Space group: No. 139
# N(E_F): 1.127 states/eV/f.u.
data_Tl4TeI2
_cell_length_a 6.479
_cell_length_b 6.479
_cell_length_c 17.873
_cell_angle_alpha 90.00
_cell_angle_beta 90.00
_cell_angle_gamma 90.00
_space_group_name_H-M_alt 'P 1'
_space_group_IT_number 1
loop_
_space_group_symop_operation_xyz
'x,y,z'
loop_
_atom_site_label
_atom_site_type_symbol
_atom_site_fract_x
_atom_site_fract_y
_atom_site_fract_z
Tl1 Tl 0.000 0.000 0.176
Tl2 Tl 0.000 0.000 0.824
Tl3 Tl 0.000 0.500 0.000
Tl4 Tl 0.000 0.500 0.500
Tl5 Tl 0.500 0.000 0.000
Tl6 Tl 0.500 0.000 0.500
Tl7 Tl 0.500 0.500 0.324
Tl8 Tl 0.500 0.500 0.676
Te1 Te 0.000 0.000 0.000
Te2 Te 0.500 0.500 0.500
I1 I 0.000 0.000 0.377
I2 I 0.000 0.000 0.623
I3 I 0.500 0.500 0.123
I4 I 0.500 0.500 0.877


no.,excess energy over the best structure of this formula in the dataset (eV per atom)
1,0.450
2,0.826
3,0.000
4,0.000
5,0.016
6,0.615
7,0.198
8,0.000
9,0.000
10,0.000
11,0.631
12,0.000
13,0.155